(i)
PmSmHo | PBE | relaxed

Calculated values
density of states at the Fermi level	8.5	states/eV/cell
space group	C2/m, No. 12

Lattice parameters (Å, degrees): 6.2168 6.2168 7.1848 106.42 106.42 48.53
Closest atoms and distances in Å follow each position.
Fractional positions:
Pm  0.1662  0.1662  0.3323  5 Ho 3.58-3.60, 5 Sm 3.60, 2 Pm 3.62
Pm  0.8338  0.8338  0.6677  5 Ho 3.58-3.60, 5 Sm 3.60, 2 Pm 3.62
Sm  0.5000  0.5000  0.0000  6 Ho 3.58-3.60, 2 Sm 3.59, 4 Pm 3.60
Sm  0.5000  0.5000  0.5000  2 Sm 3.59, 6 Pm 3.60, 4 Ho 3.62
Ho  0.1677  0.1677  0.8348  5 Pm 3.58-3.60, 5 Sm 3.58-3.62, 2 Ho 3.59
Ho  0.8323  0.8323  0.1652  5 Pm 3.58-3.60, 5 Sm 3.58-3.62, 2 Ho 3.59

(ii)
PmSmHo | PBE | relaxed

Calculated values
density of states at the Fermi level	18.0	states/eV/cell
space group	Amm2, No. 38

Lattice parameters (Å, degrees): 9.7041 6.9926 6.9926 58.71 90.00 90.00
Closest atoms and distances in Å follow each position.
Fractional positions:
Pm  0.0000  0.0000  0.0000  2 Pm 3.11, 2 Ho 3.24
Pm  0.0000  0.0278  0.5414  2 Pm 3.11-3.33, 2 Ho 3.32
Pm  0.0000  0.5414  0.0278  2 Pm 3.11-3.33, 2 Ho 3.32
Pm  0.5000  0.3563  0.3563  4 Ho 3.12-3.27
Sm  0.1791  0.5273  0.5273  1 Sm 3.48, 2 Ho 3.56, 5 Pm 3.75-3.86
Sm  0.3241  0.8337  0.8337  1 Sm 3.41, 3 Pm 3.61-3.74
Sm  0.6759  0.8337  0.8337  1 Sm 3.41, 3 Pm 3.61-3.74
Sm  0.8209  0.5273  0.5273  1 Sm 3.48, 2 Ho 3.56, 5 Pm 3.75-3.86
Ho  0.2535  0.1731  0.1731  2 Ho 3.23, 4 Pm 3.24-3.32
Ho  0.5000  0.3389  0.8119  1 Pm 3.12, 3 Ho 3.23-3.24
Ho  0.5000  0.8119  0.3389  1 Pm 3.12, 3 Ho 3.23-3.24
Ho  0.7465  0.1731  0.1731  2 Ho 3.23, 4 Pm 3.24-3.32

The calculated energies rank the structures as follows, beginning with the most stable: (i), (ii).